BeAlCd2Mo PBE optimized geometry; ΔE_f = 1.34 eV per atom; E = -0.0987 Ha/atom
1.0
-0.149 0.125 4.841
2.463 -4.168 0.184
4.076 2.411 0.063
Be Mo Al Cd
1 1 1 2
direct
0.500 0.500 0.500 Be
0.000 0.000 0.500 Mo
0.000 0.000 0.000 Al
0.000 0.500 0.000 Cd
0.500 0.000 0.000 Cd

=====

BeAlCdPd2 PBE optimized geometry; ΔE_f = -0.09 eV per atom; E = -0.1414 Ha/atom
1.0
4.309 0.000 0.000
0.000 4.300 0.000
0.000 0.000 4.309
Be Al Pd Cd
1 1 2 1
direct
0.000 0.000 0.000 Be
0.000 0.500 0.000 Al
0.000 0.000 0.500 Pd
0.500 0.000 0.000 Pd
0.500 0.500 0.500 Cd

=====

BeAlCdRe2 PBE optimized geometry; ΔE_f = 1.89 eV per atom; E = -0.1751 Ha/atom
1.0
-3.034 2.530 2.211
-0.936 -3.613 2.850
3.237 1.401 2.838
Re Be Al Cd
2 1 1 1
direct
0.000 0.000 0.500 Re
0.500 0.000 0.000 Re
0.500 0.500 0.500 Be
0.000 0.000 0.000 Al
0.000 0.500 0.000 Cd

=====

Ti2BeAlCd PBE optimized geometry; ΔE_f = 0.28 eV per atom; E = -0.1673 Ha/atom
1.0
4.412 0.000 0.000
0.000 4.454 0.000
0.000 0.000 4.412
Be Ti Al Cd
1 2 1 1
direct
0.000 0.000 0.000 Be
0.000 0.000 0.500 Ti
0.500 0.000 0.000 Ti
0.500 0.500 0.500 Al
0.000 0.500 0.000 Cd

=====

CeBe2Al PBE optimized geometry; ΔE_f = -0.02 eV per atom; E = -0.1579 Ha/atom
1.0
4.466 0.000 0.000
2.233 3.868 0.000
2.233 1.289 3.648
Be Al Ce
2 1 1
direct
0.750 0.750 0.750 Be
0.250 0.250 0.250 Be
0.500 0.500 0.500 Al
0.000 0.000 0.000 Ce

=====

Ce2BeAl PBE optimized geometry; ΔE_f = 0.47 eV per atom; E = -0.1605 Ha/atom; energy relative to the lowest polymorph listed for this composition = 47.9 kJ per mole of atoms
1.0
2.906 0.000 0.000
1.453 2.517 0.000
1.453 0.839 11.430
Be Al Ce
1 1 2
direct
0.000 0.000 0.000 Be
0.500 0.500 0.500 Al
0.086 0.086 0.741 Ce
0.914 0.914 0.259 Ce

=====

Ce2BeAl PBE optimized geometry; ΔE_f = -0.03 eV per atom; E = -0.1788 Ha/atom; energy relative to the lowest polymorph listed for this composition = 0.0 kJ per mole of atoms
1.0
3.574 0.000 0.000
0.000 3.574 0.000
0.000 0.000 6.761
Be Al Ce
1 1 2
direct
0.500 0.500 0.000 Be
0.500 0.500 0.500 Al
0.000 0.000 0.785 Ce
0.000 0.000 0.215 Ce

=====

CeBeAlCu6 PBE optimized geometry; ΔE_f = -0.01 eV per atom; E = -0.1555 Ha/atom
1.0
-5.848 1.994 -4.674
-0.067 -4.805 -1.966
-1.455 -0.465 8.042
Ce Be Al Cu
2 2 2 12
direct
0.748 0.498 0.497 Ce
0.252 0.502 0.503 Ce
0.500 0.500 0.000 Be
0.500 0.000 0.000 Be
0.500 0.000 0.500 Al
0.000 0.000 0.500 Al
0.636 0.886 0.272 Cu
0.001 0.251 0.001 Cu
0.853 0.099 0.183 Cu
0.330 0.584 0.183 Cu
0.330 0.099 0.183 Cu
0.853 0.584 0.183 Cu
0.364 0.114 0.728 Cu
0.999 0.749 0.999 Cu
0.147 0.901 0.817 Cu
0.670 0.416 0.817 Cu
0.670 0.901 0.817 Cu
0.147 0.416 0.817 Cu

=====

Ce2Be3AlGe4 PBE optimized geometry; ΔE_f = -0.32 eV per atom; E = -0.1781 Ha/atom
1.0
4.173 0.000 0.000
0.000 4.173 0.000
0.000 0.000 9.791
Ce Be Al Ge
2 3 1 4
direct
0.500 0.000 0.239 Ce
0.000 0.500 0.761 Ce
0.000 0.000 0.500 Be
0.500 0.000 0.882 Be
0.000 0.500 0.118 Be
0.500 0.500 0.500 Al
0.500 0.500 0.000 Ge
0.000 0.000 0.000 Ge
0.500 0.000 0.645 Ge
0.000 0.500 0.355 Ge

=====

Ce2Be4AlGe3 PBE optimized geometry; ΔE_f = -0.36 eV per atom; E = -0.1762 Ha/atom
1.0
-1.245 3.242 -2.062
-0.265 -2.235 -3.354
-9.284 -2.176 2.182
Ce Be Al Ge
2 4 1 3
direct
0.500 0.000 0.246 Ce
0.000 0.500 0.754 Ce
0.500 0.500 0.000 Be
0.000 0.000 0.000 Be
0.500 0.000 0.635 Be
0.000 0.500 0.365 Be
0.500 0.500 0.500 Al
0.000 0.000 0.500 Ge
0.500 0.000 0.872 Ge
0.000 0.500 0.128 Ge

=====

CeHoBeAl PBE optimized geometry; ΔE_f = -0.07 eV per atom; E = -0.1679 Ha/atom
1.0
-1.234 4.613 -1.433
-4.531 1.804 1.036
-0.529 3.608 3.399
Be Ho Ce Al
1 1 1 1
direct
0.000 0.000 0.000 Be
0.250 0.250 0.250 Ho
0.750 0.750 0.750 Ce
0.500 0.500 0.500 Al

=====

Ce2BeAlIr2 PBE optimized geometry; ΔE_f = -0.66 eV per atom; E = -0.2514 Ha/atom
1.0
-0.170 -1.953 -4.916
6.205 -0.754 0.085
-3.832 -5.061 4.991
Ce Be Al Ir
4 2 2 4
direct
0.419 0.164 0.328 Ce
0.581 0.836 0.672 Ce
0.091 0.336 0.672 Ce
0.909 0.664 0.328 Ce
0.500 0.750 0.000 Be
0.500 0.250 0.000 Be
0.000 0.750 0.000 Al
0.000 0.250 0.000 Al
0.851 0.110 0.220 Ir
0.369 0.610 0.220 Ir
0.631 0.390 0.780 Ir
0.149 0.890 0.780 Ir

=====

Ce2Be3AlIr4 PBE optimized geometry; ΔE_f = -0.69 eV per atom; E = -0.2539 Ha/atom
1.0
-3.602 1.777 0.552
-0.962 -2.808 2.763
3.837 5.595 7.020
Ce Be Al Ir
2 3 1 4
direct
0.500 0.000 0.232 Ce
0.000 0.500 0.768 Ce
0.000 0.000 0.500 Be
0.500 0.000 0.888 Be
0.000 0.500 0.112 Be
0.500 0.500 0.500 Al
0.500 0.500 0.000 Ir
0.000 0.000 0.000 Ir
0.500 0.000 0.645 Ir
0.000 0.500 0.355 Ir

=====

LiCeBeAl PBE optimized geometry; ΔE_f = -0.06 eV per atom; E = -0.1428 Ha/atom
1.0
4.604 0.000 0.000
2.302 3.987 0.000
2.302 1.329 3.759
Be Al Ce Li
1 1 1 1
direct
0.500 0.500 0.500 Be
0.250 0.250 0.250 Al
0.750 0.750 0.750 Ce
0.000 0.000 0.000 Li